1.
A plane-wave DFT calculation with PBE was carried out for a relaxed AlOsPt2 crystal.

Output
Its space group is Pmmm. For the formation enthalpy at 0 K, the calculation gives -272.8 meV/atom.

Unit cell a=3.929 b=2.761 c=6.133 alpha=63.32 beta=90.00 gamma=90.00
Fractional positions:
Os: 0.500 0.750 0.750
Pt: 0.000 0.002 0.999
Pt: 0.000 0.498 0.501
Al: 0.500 0.250 0.250

---

2.
A plane-wave DFT calculation with PBE was carried out for a relaxed Ca2PrWN4 crystal.

Output
Its space group is Pmn2_1. The calculation puts the uncorrected formation energy at -1012 meV/atom.

Unit cell a=5.467 b=6.707 c=7.648 alpha=90.00 beta=90.00 gamma=90.00
Fractional positions:
N: 0.840 0.812 0.500
N: 0.409 0.696 0.287
N: 0.939 0.887 0.000
N: 0.409 0.696 0.713
N: 0.340 0.188 0.000
N: 0.909 0.304 0.213
N: 0.439 0.113 0.500
N: 0.909 0.304 0.787
Ca: 0.971 0.661 0.247
Ca: 0.471 0.339 0.253
Ca: 0.971 0.661 0.753
Ca: 0.471 0.339 0.747
Pr: 0.965 0.143 0.500
Pr: 0.465 0.857 0.000
W: 0.496 0.826 0.500
W: 0.996 0.174 0.000